DFT (PBE+U) results for MnBi3O after structural relaxation.

Output
DOS at the Fermi energy   0.930 states/eV/atom
Total energy   -3.583 eV/atom

a b c (Å): 5.052 5.052 5.052
angles (deg): 90.00 90.00 90.00
Each line ends with the local moment (μB).
Sites, in units of the cell vectors:
Bi: 0.000 0.500 0.000  0.03
O: 0.500 0.500 0.500  -0.19
Bi: 0.000 0.000 0.500  -0.03
Mn: 0.000 0.000 0.000  -0.58
Bi: 0.500 0.000 0.000  0.07